PaVCuO5 | PBE with a Hubbard U | relaxed

a b c (Å): 5.533 5.533 8.200
angles (deg): 106.92 106.92 104.00
Each line ends with the local moment (μB).
Positions (direct):
O (0.856, 0.144, 0.750)  -0.03
O (0.348, 0.019, 0.704)  -0.01
O (0.144, 0.856, 0.250)  -0.03
O (0.019, 0.348, 0.204)  -0.01
O (0.637, 0.661, 0.933)  -0.03
O (0.981, 0.652, 0.796)  -0.01
O (0.363, 0.339, 0.067)  -0.03
O (0.661, 0.637, 0.433)  -0.03
O (0.652, 0.981, 0.296)  -0.01
O (0.339, 0.363, 0.567)  -0.03
Cu (0.315, 0.685, 0.750)  -0.08
Cu (0.685, 0.315, 0.250)  -0.08
V (0.637, 0.363, 0.750)  1.05
V (0.363, 0.637, 0.250)  1.05
Pa (0.000, 0.000, 0.000)  0.03
Pa (0.000, 0.000, 0.500)  0.03

- energy (Ha/atom) = -0.2893
- size of the total moment (μB/cell) = 1.885
- SG = No. 15